# 1
This record from OQMD via LeMat-Bulk describes an optimized crystal structure of GdDyIn2Pd4. The functional is PBE-GGA.

Results
space group: P-6m2 (187)

Cell and atoms, written as extended XYZ:
```
8
Lattice="-0.3230 -2.9397 -3.5293 0.8434 -1.5795 4.2421 -8.7918 -0.7827 1.4565" Properties=species:S:1:pos:R:3 pbc="T T T"
Pd -5.3864 -2.5529 2.6193
Pd -2.4961 -2.2956 2.1405
Gd -4.3959 -0.3913 0.7282
Dy 0.4546 -2.0329 1.6517
Pd -7.3701 -0.6561 1.2209
In -2.1197 -2.6808 -0.5767
In -6.5405 -3.0744 0.1556
Pd -1.4217 -0.1266 0.2355
```

# 2
This record from OQMD via LeMat-Bulk describes an optimized crystal structure of PrGd2Co2B2N3. The functional is PBE-GGA.

Results
space group: I4/mmm (139)

Cell and atoms, written as extended XYZ:
```
10
Lattice="-1.7778 1.7778 10.0635 1.7778 -1.7778 10.0635 1.7778 1.7778 -10.0635" Properties=species:S:1:pos:R:3 pbc="T T T"
N 0.0000 0.0000 17.6570
Co 1.7778 0.0000 5.0317
B 0.0000 0.0000 16.1627
B 0.0000 0.0000 3.9642
Pr 0.0000 0.0000 0.0000
N 0.0000 0.0000 10.0635
N 0.0000 0.0000 2.4699
Gd 0.0000 0.0000 7.4916
Co 0.0000 1.7778 5.0317
Gd 0.0000 0.0000 12.6353
```

# 3
This record from OQMD via LeMat-Bulk describes an optimized crystal structure of ErCuTe3Pb. The functional is PBE-GGA.

Results
space group: C2/m (12)

Cell and atoms, written as extended XYZ:
```
12
Lattice="9.8939 -2.1557 0.0000 9.8939 2.1557 0.0000 -1.8466 0.0000 8.4445" Properties=species:S:1:pos:R:3 pbc="T T T"
Te 11.8748 0.0000 7.0314
Te 6.0664 0.0000 1.4131
Te 12.8036 0.0000 2.9448
Pb 15.6415 0.0000 7.8665
Er 2.0669 0.0000 4.9144
Te -0.9233 0.0000 4.2223
Pb 2.2997 0.0000 0.5781
Cu 9.4938 0.0000 5.9611
Cu 8.4474 0.0000 2.4834
Er 15.8743 0.0000 3.5301
Te 9.8939 0.0000 0.0000
Te 5.1376 0.0000 5.4997
```

# 4
This record from OQMD via LeMat-Bulk describes an optimized crystal structure of ErSc2Zn3CuAu2. The functional is PBE-GGA.

Results
space group: Amm2 (38)

Cell and atoms, written as extended XYZ:
```
9
Lattice="3.8081 0.0000 0.0000 0.0000 6.1795 3.5311 0.0000 -6.1795 3.5311" Properties=species:S:1:pos:R:3 pbc="T T T"
Zn 1.9040 0.0000 1.6647
Sc 0.0000 3.6895 4.9527
Sc 0.0000 -3.6895 4.9527
Au 1.9040 -2.1163 3.5102
Zn 1.9040 -4.6970 2.7124
Au 1.9040 2.1163 3.5102
Zn 1.9040 4.6970 2.7124
Er 0.0000 0.0000 4.2008
Cu 0.0000 0.0000 0.0327
```

# 5
This record from OQMD via LeMat-Bulk describes an optimized crystal structure of Ta4Ag2O11. The functional is PBE-GGA.

Results
space group: R-3c (167)

Cell and atoms, written as extended XYZ:
```
34
Lattice="-5.1624 2.7637 -2.0772 5.3747 0.7890 -3.0155 -4.3335 -11.3138 -4.2830" Properties=species:S:1:pos:R:3 pbc="T T T"
Ta -1.7759 -6.1032 -7.0982
O -0.4019 -1.7810 -6.2284
O -2.2148 0.5263 -5.4088
O -5.4419 -7.0460 -5.1420
Ta -0.3061 -0.0732 -5.2371
O -2.4510 -7.5009 -8.3226
O -4.2247 -9.4417 -4.9539
Ag -2.8504 -2.6875 -5.7835
O -0.5106 -7.2028 -5.9927
Ta -2.3453 -1.6579 -2.2776
O -3.1430 -6.7095 -5.7583
Ag -2.4360 -9.7262 -6.8864
O -3.0328 -3.2629 -3.2047
O -4.7457 -4.2898 -5.1717
Ta -5.1315 -5.6450 -6.5584
O -0.9781 -1.0516 -3.6175
O -1.9064 -8.2875 -3.9671
O -0.6940 -2.7710 -1.9619
O -1.0883 -4.4982 -6.1711
Ta 1.0103 -2.1162 -2.8174
O -3.4272 -4.9902 -7.4139
O -3.7193 -5.9801 -3.1474
O -1.6701 -0.2603 -1.0532
Ta -3.8151 -7.6879 -4.1387
Ag -1.2707 -5.0737 -3.5923
Ta -4.7479 -4.2750 -3.1801
Ta 0.0000 0.0000 0.0000
Ag -1.6852 1.9651 -2.4894
O 1.0947 -0.5997 -1.5519
O 0.6246 -3.4713 -4.2041
O 1.3207 -0.7151 -4.2338
O -3.6105 -0.5583 -3.3831
O -5.2159 -7.1615 -7.8239
O 0.1035 1.6806 -4.4219
```

# 6
This record from OQMD via LeMat-Bulk describes an optimized crystal structure of CsAgBiAu. The functional is PBE-GGA.

Results
space group: F-43m (216)

Cell and atoms, written as extended XYZ:
```
4
Lattice="-0.8719 1.9872 5.0431 -4.8807 -0.6915 2.4170 -0.4939 -3.4331 4.2558" Properties=species:S:1:pos:R:3 pbc="T T T"
Bi -3.1233 -1.0687 5.8579
Cs 0.0000 0.0000 0.0000
Au -4.6849 -1.6030 8.7869
Ag -1.5616 -0.5343 2.9290
```

# 7
This record from OQMD via LeMat-Bulk describes an optimized crystal structure of NbCuGeAu. The functional is PBE-GGA.

Results
space group: F-43m (216)

Cell and atoms, written as extended XYZ:
```
4
Lattice="-0.9788 -3.7616 2.3142 -2.7470 -3.1117 -1.7985 1.6689 -3.9829 -1.3469" Properties=species:S:1:pos:R:3 pbc="T T T"
Ge 0.0000 0.0000 0.0000
Cu -1.5427 -8.1422 -0.6234
Au -1.0285 -5.4281 -0.4156
Nb -0.5142 -2.7140 -0.2078
```

# 8
This record from OQMD via LeMat-Bulk describes an optimized crystal structure of BeCuBiOs. The functional is PBE-GGA.

Results
space group: F-43m (216)

Cell and atoms, written as extended XYZ:
```
4
Lattice="2.0097 -3.5101 1.8948 0.8316 0.0033 4.3884 -2.3057 -2.6979 2.7120" Properties=species:S:1:pos:R:3 pbc="T T T"
Be 0.2678 -3.1023 4.4976
Bi 0.0000 0.0000 0.0000
Cu 0.1339 -1.5512 2.2488
Os 0.4018 -4.6535 6.7464
```

Going through the records in order, we get raw total energy values of -5.2509; -7.7581; -4.2115; -4.0240; -8.6711; -2.5532; -5.3445; -4.9410 eV/atom.